Record 1
# PBE-GGA Li6Ag2Au, relaxed
data_Li6Ag2Au
_cell_length_a 13.929
_cell_length_b 6.314
_cell_length_c 4.328
_cell_angle_alpha 90.00
_cell_angle_beta 107.97
_cell_angle_gamma 90.00
_space_group_name_H-M_alt 'C 1 2/m 1'
_space_group_IT_number 12
_space_group_name_Hall '-C 2y'
loop_
_atom_site_label
_atom_site_fract_x
_atom_site_fract_y
_atom_site_fract_z
_atom_site_occupancy
Li1 0.000 0.244 0.000 1
Li2 0.164 0.242 0.663 1
Ag1 0.167 0.500 0.166 1
Au1 0.000 0.000 0.500 1
# Final energy (eV per cell): -42.92
# ΔE to the lowest computed polymorph (eV per atom): 0.1535
# Energy of formation (eV per atom): -0.1107

Record 2
# PBE-GGA LiAg2Au2, relaxed
data_LiAg2Au2
_cell_length_a 8.013
_cell_length_b 8.013
_cell_length_c 3.024
_cell_angle_alpha 90.00
_cell_angle_beta 90.00
_cell_angle_gamma 90.00
_space_group_name_H-M_alt 'P 4/m b m'
_space_group_IT_number 127
_space_group_name_Hall '-P 4 2ab'
loop_
_atom_site_label
_atom_site_fract_x
_atom_site_fract_y
_atom_site_fract_z
_atom_site_occupancy
Li1 0.000 0.000 0.000 1
Ag1 0.126 0.374 0.000 1
Au1 0.173 0.673 0.500 1
# Final energy (eV per cell): -29.39
# ΔE to the lowest computed polymorph (eV per atom): 0.0747
# Energy of formation (eV per atom): -0.1051

Record 3
# PBE-GGA Li2AgAu4, relaxed
data_Li2AgAu4
_cell_length_a 5.228
_cell_length_b 5.228
_cell_length_c 10.665
_cell_angle_alpha 90.00
_cell_angle_beta 90.00
_cell_angle_gamma 90.00
_space_group_name_H-M_alt 'I 4/m m m'
_space_group_IT_number 139
_space_group_name_Hall '-I 4 2'
loop_
_atom_site_label
_atom_site_fract_x
_atom_site_fract_y
_atom_site_fract_z
_atom_site_occupancy
Li1 0.000 0.000 0.156 1
Ag1 0.000 0.000 0.500 1
Au1 0.000 0.500 0.000 1
Au2 0.000 0.500 0.250 1
# Final energy (eV per cell): -40.85
# ΔE to the lowest computed polymorph (eV per atom): 0.1760
# Energy of formation (eV per atom): -0.0910

Record 4
# PBE-GGA Li2Ag2Au, relaxed
data_Li2Ag2Au
_cell_length_a 3.660
_cell_length_b 3.660
_cell_length_c 13.433
_cell_angle_alpha 90.00
_cell_angle_beta 90.00
_cell_angle_gamma 90.00
_space_group_name_H-M_alt 'I 4/m m m'
_space_group_IT_number 139
_space_group_name_Hall '-I 4 2'
loop_
_atom_site_label
_atom_site_fract_x
_atom_site_fract_y
_atom_site_fract_z
_atom_site_occupancy
Li1 0.000 0.500 0.250 1
Ag1 0.000 0.000 0.103 1
Au1 0.000 0.000 0.500 1
# Final energy (eV per cell): -25.01
# ΔE to the lowest computed polymorph (eV per atom): 0.3569
# Energy of formation (eV per atom): 0.0601

Record 5
# PBE-GGA Li6AgAu3, relaxed
data_Li6AgAu3
_cell_length_a 7.631
_cell_length_b 4.542
_cell_length_c 9.597
_cell_angle_alpha 90.00
_cell_angle_beta 109.43
_cell_angle_gamma 90.00
_space_group_name_H-M_alt 'P 1 21/m 1'
_space_group_IT_number 11
_space_group_name_Hall '-P 2yb'
loop_
_atom_site_label
_atom_site_fract_x
_atom_site_fract_y
_atom_site_fract_z
_atom_site_occupancy
Li1 0.035 0.250 0.412 1
Li2 0.142 0.750 0.185 1
Li3 0.235 0.250 0.002 1
Li4 0.339 0.750 0.785 1
Li5 0.345 0.250 0.317 1
Li6 0.436 0.250 0.610 1
Ag1 0.455 0.750 0.090 1
Au1 0.048 0.750 0.888 1
Au2 0.146 0.250 0.707 1
Au3 0.266 0.750 0.484 1
# Final energy (eV per cell): -56.89
# ΔE to the lowest computed polymorph (eV per atom): 0.0000
# Energy of formation (eV per atom): -0.4280

Record 6
# PBE-GGA Li7Ag3Au2, relaxed
data_Li7Ag3Au2
_cell_length_a 4.392
_cell_length_b 22.779
_cell_length_c 4.133
_cell_angle_alpha 90.00
_cell_angle_beta 90.00
_cell_angle_gamma 90.00
_space_group_name_H-M_alt 'C m m m'
_space_group_IT_number 65
_space_group_name_Hall '-C 2 2'
loop_
_atom_site_label
_atom_site_fract_x
_atom_site_fract_y
_atom_site_fract_z
_atom_site_occupancy
Li1 0.000 0.000 0.000 1
Li2 0.000 0.084 0.500 1
Li3 0.000 0.276 0.000 1
Li4 0.000 0.419 0.000 1
Ag1 0.000 0.346 0.500 1
Ag2 0.000 0.500 0.500 1
Au1 0.000 0.155 0.000 1
# Final energy (eV per cell): -61.87
# ΔE to the lowest computed polymorph (eV per atom): 0.0354
# Energy of formation (eV per atom): -0.2024